# 1
IClF after structural relaxation, computed with GGA-PBE.

Structure (POSCAR):
```
IClF
1.0
5.490 0.000 0.000
-0.493 6.106 0.000
-1.729 -1.485 5.796
I Cl F
2 2 2
Direct
0.000 0.000 0.000
0.207 0.173 0.516
0.303 0.726 0.994
0.517 0.430 0.470
0.739 0.215 0.966
0.899 0.924 0.640
```

Properties
Symmetry: P1, No. 1
Crystal system: triclinic
Excess energy over the best structure of this formula in the dataset, meV/atom: 39.3
D(E_F), states/eV/f.u.: 0.0

=====

# 2
I3ClF after structural relaxation, computed with GGA-PBE.

Structure (POSCAR):
```
I3ClF
1.0
5.243 0.000 0.000
0.000 5.243 0.000
0.000 0.000 5.243
I Cl F
3 1 1
Direct
0.000 0.000 0.500
0.000 0.500 0.000
0.500 0.000 0.000
0.500 0.500 0.500
0.000 0.000 0.000
```

Properties
Symmetry: Pm-3m, No. 221
Crystal system: cubic
Excess energy over the best structure of this formula in the dataset, meV/atom: 0.0
D(E_F), states/eV/f.u.: 8.3

=====

# 3
I3Cl6F2 after structural relaxation, computed with GGA-PBE.

Structure (POSCAR):
```
I3Cl6F2
1.0
7.575 -3.918 0.000
7.575 3.918 0.000
-4.754 0.000 14.229
I Cl F
6 12 4
Direct
0.016 0.984 0.750
0.376 0.403 0.275
0.403 0.376 0.775
0.597 0.624 0.225
0.624 0.597 0.725
0.984 0.016 0.250
0.055 0.088 0.423
0.088 0.055 0.923
0.220 0.245 0.171
0.245 0.220 0.671
0.345 0.369 0.419
0.369 0.345 0.919
0.631 0.655 0.081
0.655 0.631 0.581
0.755 0.780 0.329
0.780 0.755 0.829
0.912 0.945 0.077
0.945 0.912 0.577
0.440 0.470 0.154
0.470 0.440 0.654
0.530 0.560 0.346
0.560 0.530 0.846
```

Properties
Symmetry: C2/c, No. 15
Crystal system: monoclinic
D(E_F), states/eV/f.u.: 6.5

=====

Number 1: E_form (uncorrected) -632 meV per atom. Number 2: E_form (uncorrected) 306 meV per atom. Number 3: E_form (uncorrected) -404 meV per atom.